No. 1
A plane-wave DFT calculation with PBEsol was carried out for crystalline AsPb3 at its relaxed geometry.

Calculated values
- Calculated volume: 107.46 Å³/f.u.
- Mass density: 10.76 g cm⁻³
- Formation energy: 0.082 eV/atom
- N(E_F): 2.303 states/eV per cell

Cell: 3.6697 3.6697 7.9795 Å, 90.00 90.00 90.00°
Atoms (fractional coordinates):
Pb (0.5000, 0.5000, 0.7864)
Pb (0.0000, 0.0000, 0.5000)
Pb (0.5000, 0.5000, 0.2136)
As (0.0000, 0.0000, 0.0000)

---

No. 2
A plane-wave DFT calculation with PBEsol was carried out for crystalline TaB2Mo3C2 at its relaxed geometry.

Calculated values
- Calculated volume: 82.97 Å³/f.u.
- Mass density: 10.29 g cm⁻³
- Formation energy: -0.507 eV/atom
- N(E_F): 1.737 states/eV per cell

Cell: 3.0768 3.1019 8.8313 Å, 100.11 90.00 90.00°
Atoms (fractional coordinates):
Mo (0.0000, 0.3166, 0.6333)
Mo (0.5000, 0.9279, 0.8559)
Mo (0.0000, 0.0691, 0.1382)
B (0.5000, 0.5292, 0.0584)
B (0.0000, 0.4710, 0.9420)
C (0.5000, 0.8097, 0.6194)
C (0.0000, 0.1923, 0.3846)
Ta (0.5000, 0.6841, 0.3682)

---

No. 3
A plane-wave DFT calculation with PBEsol was carried out for crystalline NaInAsSe2 at its relaxed geometry.

Calculated values
- Calculated volume: 146.87 Å³/f.u.
- Formation energy from raw total energies: 0.156 eV/atom
- Mass density: 4.19 g cm⁻³
- N(E_F): 5.006 states/eV per cell

Cell: 5.1554 5.3375 5.3375 Å, 90.00 90.00 90.00°
Last column: magnetic moment on the atom in μB.
Atoms (fractional coordinates):
Na (0.5000, 0.5000, 0.5000)  0.00
As (0.5000, 0.0000, 0.0000)  0.23
Se (0.0000, 0.0000, 0.5000)  0.04
Se (0.0000, 0.5000, 0.0000)  0.04
In (0.0000, 0.0000, 0.0000)  0.00

---

No. 4
A plane-wave DFT calculation with PBEsol was carried out for crystalline MoRuPt2 at its relaxed geometry.

Calculated values
- Calculated volume: 59.29 Å³/f.u.
- Mass density: 16.45 g cm⁻³
- Formation energy: 0.147 eV/atom
- N(E_F): 3.257 states/eV per cell

Cell: 4.3768 4.3768 4.3768 Å, 60.00 60.00 60.00°
Atoms (fractional coordinates):
Mo (0.5000, 0.5000, 0.5000)
Pt (0.0000, 0.0000, 0.0000)
Pt (0.7500, 0.7500, 0.7500)
Ru (0.2500, 0.2500, 0.2500)

---

No. 5
A plane-wave DFT calculation with PBEsol was carried out for crystalline Na2Ta3S6 at its relaxed geometry.

Calculated values
- Calculated volume: 207.81 Å³/f.u.
- Formation energy from raw total energies: -1.265 eV/atom
- Mass density: 6.24 g cm⁻³
- N(E_F): 7.477 states/eV per cell

Cell: 5.7670 5.7670 14.8094 Å, 78.77 78.77 60.00°
Atoms (fractional coordinates):
Na (0.0835, 0.0835, 0.7496)
Na (0.4168, 0.4168, 0.7496)
Na (0.5832, 0.5832, 0.2504)
Na (0.9165, 0.9165, 0.2504)
Ta (0.6667, 0.6667, 0.9998)
Ta (0.3333, 0.3333, 0.0002)
Ta (0.0000, 0.0000, 0.0000)
Ta (0.5000, 0.1668, 0.5000)
Ta (0.8332, 0.5000, 0.5000)
Ta (0.1668, 0.8332, 0.5000)
S (0.7024, 0.0342, 0.8927)
S (0.3707, 0.7024, 0.8927)
S (0.0342, 0.3707, 0.8927)
S (0.9658, 0.2976, 0.1073)
S (0.6293, 0.9658, 0.1073)
S (0.2976, 0.6293, 0.1073)
S (0.7978, 0.1295, 0.6072)
S (0.4655, 0.7978, 0.6072)
S (0.1295, 0.4655, 0.6072)
S (0.8705, 0.2022, 0.3928)
S (0.5345, 0.8705, 0.3928)
S (0.2022, 0.5345, 0.3928)

---

No. 6
A plane-wave DFT calculation with PBEsol was carried out for crystalline SrCa2Be at its relaxed geometry.

Calculated values
- Calculated volume: 132.52 Å³/f.u.
- Mass density: 2.22 g cm⁻³
- Formation energy: 0.532 eV/atom
- N(E_F): 3.191 states/eV per cell

Cell: 3.7046 6.1584 6.7734 Å, 115.39 103.34 95.40°
Atoms (fractional coordinates):
Sr (0.0000, 0.5000, 0.0000)
Ca (0.5000, 0.5000, 0.5000)
Ca (0.0000, 0.0000, 0.5000)
Be (0.5000, 0.0000, 0.0000)

---

No. 7
A plane-wave DFT calculation with PBEsol was carried out for crystalline CuH3Pd at its relaxed geometry.

Calculated values
- Calculated volume: 39.56 Å³/f.u.
- Calculated total energy: -19.21 eV per formula unit
- Mass density: 7.26 g cm⁻³
- N(E_F): 0.853 states/eV per cell

Cell: 3.4075 3.4075 3.4075 Å, 90.00 90.00 90.00°
Atoms (fractional coordinates):
H (0.0000, 0.5000, 0.0000)
H (0.0000, 0.0000, 0.5000)
H (0.5000, 0.0000, 0.0000)
Cu (0.5000, 0.5000, 0.5000)
Pd (0.0000, 0.0000, 0.0000)

---

No. 8
A plane-wave DFT calculation with PBEsol was carried out for crystalline GaBi2Se at its relaxed geometry.

Calculated values
- Calculated volume: 135.72 Å³/f.u.
- Formation energy from raw total energies: 0.187 eV/atom
- Mass density: 6.93 g cm⁻³
- N(E_F): 3.528 states/eV per cell

Cell: 5.9987 5.9987 8.6543 Å, 110.28 110.28 90.00°
Atoms (fractional coordinates):
Ga (0.7500, 0.2500, 0.5000)
Ga (0.5000, 0.5000, 0.0000)
Bi (0.3856, 0.8750, 0.2500)
Bi (0.8644, 0.3750, 0.2500)
Bi (0.1250, 0.1356, 0.7500)
Bi (0.6250, 0.6144, 0.7500)
Se (0.2500, 0.7500, 0.5000)
Se (0.0000, 0.0000, 0.0000)

---

No. 9
A plane-wave DFT calculation with PBEsol was carried out for crystalline CaCrCl2 at its relaxed geometry.

Calculated values
- Calculated volume: 81.71 Å³/f.u.
- Formation energy from raw total energies: -0.712 eV/atom
- Mass density: 3.31 g cm⁻³
- N(E_F): 2.448 states/eV per cell

Cell: 3.4250 3.7760 6.3177 Å, 90.00 90.02 90.00°
Last column: magnetic moment on the atom in μB.
Atoms (fractional coordinates):
Cr (0.5000, 0.5000, 0.5000)  3.85
Ca (0.0000, 0.5000, 0.0000)  0.02
Cl (0.4999, 0.0000, 0.2380)  0.00
Cl (0.5001, 0.0000, 0.7620)  0.00

---

No. 10
A plane-wave DFT calculation with PBEsol was carried out for crystalline LiTiAg2 at its relaxed geometry.

Calculated values
- Calculated volume: 63.29 Å³/f.u.
- Mass density: 7.10 g cm⁻³
- Formation energy: 0.037 eV/atom
- N(E_F): 4.155 states/eV per cell

Cell: 4.4731 4.4731 4.4731 Å, 60.00 60.00 60.00°
Atoms (fractional coordinates):
Li (0.0000, 0.0000, 0.0000)
Ag (0.2500, 0.2500, 0.2500)
Ag (0.7500, 0.7500, 0.7500)
Ti (0.5000, 0.5000, 0.5000)

---

No. 11
A plane-wave DFT calculation with PBEsol was carried out for crystalline TcAgCN2 at its relaxed geometry.

Calculated values
- Calculated volume: 53.25 Å³/f.u.
- Formation energy from raw total energies: 2.468 eV/atom
- Mass density: 7.67 g cm⁻³
- N(E_F): 3.433 states/eV per cell

Cell: 3.7143 3.7143 3.8596 Å, 90.00 90.00 90.00°
Last column: magnetic moment on the atom in μB.
Atoms (fractional coordinates):
C (0.0000, 0.0000, 0.0000)  -0.02
Tc (0.5000, 0.5000, 0.5000)  2.00
Ag (0.0000, 0.0000, 0.5000)  0.03
N (0.0000, 0.5000, 0.0000)  -0.14
N (0.5000, 0.0000, 0.0000)  -0.14

---

No. 12
A plane-wave DFT calculation with PBEsol was carried out for crystalline NdTlP4O12 at its relaxed geometry.

Calculated values
- Calculated volume: 250.51 Å³/f.u.
- Formation energy from raw total energies: -2.346 eV/atom
- Mass density: 4.40 g cm⁻³
- N(E_F): 0.000 states/eV per cell

Cell: 9.0740 10.4706 10.9643 Å, 105.87 90.00 90.00°
Atoms (fractional coordinates):
Nd (0.7272, 0.4997, 0.1851)
Nd (0.2272, 0.0003, 0.3149)
Nd (0.2728, 0.5003, 0.8149)
Nd (0.7728, 0.9997, 0.6851)
Tl (0.0651, 0.2151, 0.9586)
Tl (0.5651, 0.2849, 0.5414)
Tl (0.9349, 0.7849, 0.0414)
Tl (0.4349, 0.7151, 0.4586)
P (0.9776, 0.2510, 0.2732)
P (0.4776, 0.2490, 0.2268)
P (0.0224, 0.7490, 0.7268)
P (0.5224, 0.7510, 0.7732)
P (0.1723, 0.9595, 0.6411)
P (0.6723, 0.5405, 0.8589)
P (0.8277, 0.0405, 0.3589)
P (0.3277, 0.4595, 0.1411)
P (0.4025, 0.1462, 0.7604)
P (0.9025, 0.3538, 0.7396)
P (0.5975, 0.8538, 0.2396)
P (0.0975, 0.6462, 0.2604)
P (0.6035, 0.1765, 0.9783)
P (0.1035, 0.3235, 0.5217)
P (0.3965, 0.8235, 0.0217)
P (0.8965, 0.6765, 0.4783)
O (0.2924, 0.0225, 0.7494)
O (0.7924, 0.4775, 0.7506)
O (0.7076, 0.9775, 0.2506)
O (0.2076, 0.5225, 0.2494)
O (0.9097, 0.8525, 0.7853)
O (0.4097, 0.6475, 0.7147)
O (0.0903, 0.1475, 0.2147)
O (0.5903, 0.3525, 0.2853)
O (0.3158, 0.2622, 0.7452)
O (0.8158, 0.2378, 0.7548)
O (0.6842, 0.7378, 0.2548)
O (0.1842, 0.7622, 0.2452)
O (0.0334, 0.0388, 0.6716)
O (0.5334, 0.4612, 0.8284)
O (0.9666, 0.9612, 0.3284)
O (0.4666, 0.5388, 0.1716)
O (0.0332, 0.3976, 0.8251)
O (0.5332, 0.1024, 0.6749)
O (0.9668, 0.6024, 0.1749)
O (0.4668, 0.8976, 0.3251)
O (0.9120, 0.3284, 0.1900)
O (0.4120, 0.1716, 0.3100)
O (0.0880, 0.6716, 0.8100)
O (0.5880, 0.8284, 0.6900)
O (0.6587, 0.3162, 0.0157)
O (0.1587, 0.1838, 0.4843)
O (0.3413, 0.6838, 0.9843)
O (0.8413, 0.8162, 0.5157)
O (0.3451, 0.3163, 0.1678)
O (0.8451, 0.1837, 0.3322)
O (0.6549, 0.6837, 0.8322)
O (0.1549, 0.8163, 0.6678)
O (0.4476, 0.1708, 0.9055)
O (0.9476, 0.3292, 0.5945)
O (0.5524, 0.8292, 0.0945)
O (0.0524, 0.6708, 0.4055)
O (0.7434, 0.5661, 0.9870)
O (0.2434, 0.9339, 0.5130)
O (0.2566, 0.4339, 0.0130)
O (0.7566, 0.0661, 0.4870)
O (0.7975, 0.5677, 0.4066)
O (0.2975, 0.9323, 0.0934)
O (0.2025, 0.4323, 0.5934)
O (0.7025, 0.0677, 0.9066)
O (0.0429, 0.3584, 0.3962)
O (0.5429, 0.1416, 0.1038)
O (0.9571, 0.6416, 0.6038)
O (0.4571, 0.8584, 0.8962)

---

No. 13
A plane-wave DFT calculation with PBEsol was carried out for crystalline Ho6Al43W4 at its relaxed geometry.

Calculated values
- Calculated volume: 906.57 Å³/f.u.
- Mass density: 5.28 g cm⁻³
- Formation energy: -0.270 eV/atom
- N(E_F): 41.866 states/eV per cell

Cell: 10.9115 10.9115 17.5848 Å, 90.00 90.00 120.00°
Atoms (fractional coordinates):
Ho (0.5323, 0.5323, 0.5955)
Ho (0.0000, 0.4677, 0.5955)
Ho (0.4677, 0.0000, 0.5955)
Ho (0.4677, 0.4677, 0.4045)
Ho (0.0000, 0.5323, 0.4045)
Ho (0.5323, 0.0000, 0.4045)
Ho (0.4677, 0.4677, 0.0955)
Ho (0.0000, 0.5323, 0.0955)
Ho (0.5323, 0.0000, 0.0955)
Ho (0.5323, 0.5323, 0.9045)
Ho (0.0000, 0.4677, 0.9045)
Ho (0.4677, 0.0000, 0.9045)
Al (0.7630, 0.1576, 0.6633)
Al (0.3945, 0.2370, 0.6633)
Al (0.8424, 0.6055, 0.6633)
Al (0.1576, 0.7630, 0.6633)
Al (0.2370, 0.3945, 0.6633)
Al (0.6055, 0.8424, 0.6633)
Al (0.2370, 0.8424, 0.3367)
Al (0.6055, 0.7630, 0.3367)
Al (0.1576, 0.3945, 0.3367)
Al (0.8424, 0.2370, 0.3367)
Al (0.7630, 0.6055, 0.3367)
Al (0.3945, 0.1576, 0.3367)
Al (0.2370, 0.8424, 0.1633)
Al (0.6055, 0.7630, 0.1633)
Al (0.1576, 0.3945, 0.1633)
Al (0.8424, 0.2370, 0.1633)
Al (0.7630, 0.6055, 0.1633)
Al (0.3945, 0.1576, 0.1633)
Al (0.7630, 0.1576, 0.8367)
Al (0.3945, 0.2370, 0.8367)
Al (0.8424, 0.6055, 0.8367)
Al (0.1576, 0.7630, 0.8367)
Al (0.2370, 0.3945, 0.8367)
Al (0.6055, 0.8424, 0.8367)
Al (0.1602, 0.1602, 0.1144)
Al (0.0000, 0.8398, 0.1144)
Al (0.8398, 0.0000, 0.1144)
Al (0.8398, 0.8398, 0.8856)
Al (0.0000, 0.1602, 0.8856)
Al (0.1602, 0.0000, 0.8856)
Al (0.8398, 0.8398, 0.6144)
Al (0.0000, 0.1602, 0.6144)
Al (0.1602, 0.0000, 0.6144)
Al (0.1602, 0.1602, 0.3856)
Al (0.0000, 0.8398, 0.3856)
Al (0.8398, 0.0000, 0.3856)
Al (0.2546, 0.2546, 0.5302)
Al (0.0000, 0.7454, 0.5302)
Al (0.7454, 0.0000, 0.5302)
Al (0.7454, 0.7454, 0.4698)
Al (0.0000, 0.2546, 0.4698)
Al (0.2546, 0.0000, 0.4698)
Al (0.7454, 0.7454, 0.0302)
Al (0.0000, 0.2546, 0.0302)
Al (0.2546, 0.0000, 0.0302)
Al (0.2546, 0.2546, 0.9698)
Al (0.0000, 0.7454, 0.9698)
Al (0.7454, 0.0000, 0.9698)
Al (0.5518, 0.1477, 0.7500)
Al (0.5959, 0.4482, 0.7500)
Al (0.8523, 0.4041, 0.7500)
Al (0.1477, 0.5518, 0.7500)
Al (0.4482, 0.5959, 0.7500)
Al (0.4041, 0.8523, 0.7500)
Al (0.4482, 0.8523, 0.2500)
Al (0.4041, 0.5518, 0.2500)
Al (0.1477, 0.5959, 0.2500)
Al (0.8523, 0.4482, 0.2500)
Al (0.5518, 0.4041, 0.2500)
Al (0.5959, 0.1477, 0.2500)
Al (0.7530, 0.2470, 0.5000)
Al (0.4940, 0.2470, 0.5000)
Al (0.7530, 0.5060, 0.5000)
Al (0.2470, 0.7530, 0.5000)
Al (0.2470, 0.4940, 0.5000)
Al (0.5060, 0.7530, 0.5000)
Al (0.2470, 0.7530, 0.0000)
Al (0.5060, 0.7530, 0.0000)
Al (0.2470, 0.4940, 0.0000)
Al (0.7530, 0.2470, 0.0000)
Al (0.7530, 0.5060, 0.0000)
Al (0.4940, 0.2470, 0.0000)
Al (0.6667, 0.3333, 0.6252)
Al (0.3333, 0.6667, 0.6252)
Al (0.3333, 0.6667, 0.3748)
Al (0.6667, 0.3333, 0.3748)
Al (0.3333, 0.6667, 0.1252)
Al (0.6667, 0.3333, 0.1252)
Al (0.6667, 0.3333, 0.8748)
Al (0.3333, 0.6667, 0.8748)
Al (0.1486, 0.1486, 0.7500)
Al (0.0000, 0.8514, 0.7500)
Al (0.8514, 0.0000, 0.7500)
Al (0.8514, 0.8514, 0.2500)
Al (0.0000, 0.1486, 0.2500)
Al (0.1486, 0.0000, 0.2500)
W (0.7289, 0.7289, 0.7500)
W (0.0000, 0.2711, 0.7500)
W (0.2711, 0.0000, 0.7500)
W (0.2711, 0.2711, 0.2500)
W (0.0000, 0.7289, 0.2500)
W (0.7289, 0.0000, 0.2500)
W (0.0000, 0.0000, 0.5000)
W (0.0000, 0.0000, 0.0000)

---

No. 14
A plane-wave DFT calculation with PBEsol was carried out for crystalline FeMo at its relaxed geometry.

Calculated values
- Calculated volume: 25.45 Å³/f.u.
- Mass density: 9.90 g cm⁻³
- Formation energy: 0.272 eV/atom
- N(E_F): 2.186 states/eV per cell

Cell: 2.6532 2.6532 4.1743 Å, 90.00 90.00 120.00°
Atoms (fractional coordinates):
Fe (0.0000, 0.0000, 0.0000)
Mo (0.6667, 0.3333, 0.5000)

---

No. 15
A plane-wave DFT calculation with PBEsol was carried out for crystalline BeReW2 at its relaxed geometry.

Calculated values
- Calculated volume: 55.13 Å³/f.u.
- Mass density: 16.96 g cm⁻³
- Formation energy: 0.190 eV/atom
- N(E_F): 3.207 states/eV per cell

Cell: 3.1111 3.1111 5.6956 Å, 90.00 90.00 90.00°
Atoms (fractional coordinates):
Re (0.5000, 0.5000, 0.5000)
W (0.0000, 0.0000, 0.7742)
W (0.0000, 0.0000, 0.2258)
Be (0.5000, 0.5000, 0.0000)

---

No. 16
A plane-wave DFT calculation with PBEsol was carried out for crystalline CuRh2Au at its relaxed geometry.

Calculated values
- Calculated volume: 55.93 Å³/f.u.
- Mass density: 13.85 g cm⁻³
- Formation energy: 0.128 eV/atom
- N(E_F): 5.320 states/eV per cell

Cell: 2.7431 4.6174 4.7059 Å, 100.19 90.00 107.28°
Atoms (fractional coordinates):
Au (0.5016, 0.0032, 0.5209)
Cu (0.2530, 0.5061, 0.7410)
Rh (0.0000, 0.0000, 0.0210)
Rh (0.7454, 0.4907, 0.2171)

---

No. 17
A plane-wave DFT calculation with PBEsol was carried out for crystalline BaSr2Ca at its relaxed geometry.

Calculated values
- Calculated volume: 202.34 Å³/f.u.
- Mass density: 2.89 g cm⁻³
- Formation energy: 0.024 eV/atom
- N(E_F): 4.825 states/eV per cell

Cell: 4.1375 7.1930 7.2045 Å, 99.41 90.00 106.71°
Atoms (fractional coordinates):
Sr (0.0032, 0.0064, 0.0033)
Sr (0.2513, 0.5026, 0.7543)
Ca (0.7484, 0.4968, 0.2479)
Ba (0.4971, 0.9942, 0.4945)

---

No. 18
A plane-wave DFT calculation with PBEsol was carried out for crystalline MgCdHg at its relaxed geometry.

Calculated values
- Calculated volume: 62.67 Å³/f.u.
- Mass density: 8.94 g cm⁻³
- Formation energy: -0.165 eV/atom
- N(E_F): 0.784 states/eV per cell

Cell: 3.7757 3.7757 5.1302 Å, 111.29 111.30 90.41°
Atoms (fractional coordinates):
Mg (0.3319, 0.3319, 0.6636)
Hg (0.6673, 0.6674, 0.3348)
Cd (0.0007, 0.0005, 0.0016)